Compound: CoAs2SeO
Source: Alexandria via LeMat-Bulk
Functional: GGA+U
Structure: optimized geometry

Unit cell a=4.4893 b=4.4893 c=4.7011 alpha=90.00 beta=90.00 gamma=90.00
Last column: nearest neighbours and their distance in Å.
Element x y z (fractional)
As 0.0000 0.5000 0.0000  2 Co 2.24
As 0.5000 0.0000 0.0000  2 Co 2.24
Co 0.0000 0.0000 0.0000  4 As 2.24, 2 Se 2.35
O 0.5000 0.5000 0.5000  4 Se 3.17, 8 As 3.25
Se 0.0000 0.0000 0.5000  2 Co 2.35

Results
Space group: P4/mmm, No. 123
V in Å³/cell: 94.74
Total moment in μB per formula unit: 2.99
Uncorrected energy in Ha/atom: -0.1353
Energy above the most stable polymorph in this dataset in eV per atom: 0.321